Record 1
First-principles (PBE) data for Th2Co3P after structural relaxation, as listed in the Alexandria database.

Unit cell a=5.6208 b=5.6208 c=7.9459 alpha=110.78 beta=110.78 gamma=89.84
Positions (direct):
Th1 0.7500 0.2500 0.5000
Th2 0.2500 0.7500 0.5000
Th3 0.2479 0.7521 0.0000
Th4 0.7521 0.2479 0.0000
Co1 0.1700 0.1700 0.3400
Co2 0.1702 0.1702 0.8298
Co3 0.3403 0.3403 0.1702
Co4 0.6597 0.6597 0.8298
Co5 0.8298 0.8298 0.1702
Co6 0.8300 0.8300 0.6600
P1 0.3326 0.3326 0.6653
P2 0.6674 0.6674 0.3347



Record 2
First-principles (PBE) data for ThCo5P4 after structural relaxation, as listed in the Alexandria database.

Unit cell a=5.6384 b=5.4639 c=8.8467 alpha=90.00 beta=90.00 gamma=90.00
Positions (direct):
Th1 0.0292 0.5000 0.5000
Th2 0.9708 0.0000 0.0000
Co1 0.7170 0.7367 0.2656
Co2 0.7170 0.2633 0.7345
Co3 0.2830 0.2367 0.2344
Co4 0.7170 0.7367 0.7345
Co5 0.7170 0.2633 0.2656
Co6 0.7369 0.5000 0.0000
Co7 0.2830 0.7633 0.2344
Co8 0.2830 0.2367 0.7655
Co9 0.2631 0.0000 0.5000
Co10 0.2830 0.7633 0.7655
P1 0.9897 0.0000 0.3305
P2 0.5316 0.7058 0.5000
P3 0.4684 0.2058 0.0000
P4 0.0103 0.5000 0.8305
P5 0.9897 0.0000 0.6695
P6 0.5316 0.2942 0.5000
P7 0.4684 0.7942 0.0000
P8 0.0103 0.5000 0.1695



Record 3
First-principles (PBE) data for Th2TiCo4P3 after structural relaxation, as listed in the Alexandria database.

Unit cell a=3.9510 b=3.9510 c=9.7026 alpha=90.00 beta=90.00 gamma=90.00
Positions (direct):
Ti1 0.5000 0.5000 0.5000
Co1 0.0000 0.0000 0.0000
Co2 0.5000 0.0000 0.6356
Co3 0.5000 0.5000 0.0000
Co4 0.0000 0.5000 0.3644
P1 0.5000 0.0000 0.8736
P2 0.0000 0.5000 0.1264
P3 0.0000 0.0000 0.5000
Th1 0.5000 0.0000 0.2404
Th2 0.0000 0.5000 0.7596



Record 4
First-principles (PBE) data for ThTiCo2P2 after structural relaxation, as listed in the Alexandria database.

Unit cell a=3.9382 b=3.9382 c=6.7764 alpha=90.00 beta=90.00 gamma=120.00
Positions (direct):
Th1 0.0000 0.0000 0.0000
Co1 0.6667 0.3333 0.3400
Co2 0.3333 0.6667 0.6600
Ti1 0.0000 0.0000 0.5000
P1 0.6667 0.3333 0.7140
P2 0.3333 0.6667 0.2860



Record 5
First-principles (PBE) data for TmThCo2P2 after structural relaxation, as listed in the Alexandria database.

Unit cell a=3.8895 b=3.8895 c=7.8463 alpha=90.00 beta=90.00 gamma=120.00
Positions (direct):
Th1 0.0000 0.0000 0.0000
Co1 0.3333 0.6667 0.7579
Co2 0.6667 0.3333 0.2421
P1 0.6667 0.3333 0.7298
P2 0.3333 0.6667 0.2702
Tm1 0.0000 0.0000 0.5000



Record 6
First-principles (PBE) data for Th2UCo4P3 after structural relaxation, as listed in the Alexandria database.

Unit cell a=4.0174 b=4.0174 c=9.9955 alpha=90.00 beta=90.00 gamma=90.00
Positions (direct):
P1 0.5000 0.0000 0.8797
P2 0.0000 0.5000 0.1203
P3 0.0000 0.0000 0.5000
Co1 0.5000 0.0000 0.6511
Co2 0.0000 0.5000 0.3489
Co3 0.5000 0.5000 0.0000
Co4 0.0000 0.0000 0.0000
Th1 0.5000 0.0000 0.2262
Th2 0.0000 0.5000 0.7738
U1 0.5000 0.5000 0.5000



Record 7
First-principles (PBE) data for Th2ZnCo4P3 after structural relaxation, as listed in the Alexandria database.

Unit cell a=3.9985 b=3.9985 c=9.4280 alpha=90.00 beta=90.00 gamma=90.00
Positions (direct):
P1 0.0000 0.0000 0.5000
P2 0.0000 0.5000 0.1285
P3 0.5000 0.0000 0.8715
Th1 0.0000 0.5000 0.7554
Th2 0.5000 0.0000 0.2446
Co1 0.0000 0.0000 0.0000
Co2 0.0000 0.5000 0.3699
Co3 0.5000 0.5000 0.0000
Co4 0.5000 0.0000 0.6301
Zn1 0.5000 0.5000 0.5000



Record 8
First-principles (PBE) data for ThZrCo2P2 after structural relaxation, as listed in the Alexandria database.

Unit cell a=3.8637 b=3.8637 c=7.5840 alpha=90.00 beta=90.00 gamma=120.00
Positions (direct):
Th1 0.0000 0.0000 0.0000
Zr1 0.0000 0.0000 0.5000
P1 0.3333 0.6667 0.2804
P2 0.6667 0.3333 0.7196
Co1 0.6667 0.3333 0.2539
Co2 0.3333 0.6667 0.7461



Record 9
First-principles (PBE) data for Ti8Co2P after structural relaxation, as listed in the Alexandria database.

Unit cell a=4.2733 b=5.4694 c=8.0327 alpha=108.72 beta=105.43 gamma=90.00
Positions (direct):
Ti1 0.3251 0.9878 0.6503
Ti2 0.6749 0.0122 0.3497
Ti3 0.0231 0.7685 0.0461
Ti4 0.9769 0.2315 0.9539
Ti5 0.2097 0.3521 0.4194
Ti6 0.7903 0.6479 0.5806
Ti7 0.5935 0.4693 0.1871
Ti8 0.4065 0.5307 0.8129
Co1 0.8322 0.2604 0.6644
Co2 0.1678 0.7396 0.3356
P1 0.5000 0.0000 0.0000



Record 10
First-principles (PBE) data for TiCo2P after structural relaxation, as listed in the Alexandria database.

Unit cell a=4.7197 b=6.3046 c=12.7800 alpha=90.00 beta=90.00 gamma=90.00
Positions (direct):
Ti1 0.2608 0.7500 0.1104
Ti2 0.9773 0.7500 0.3641
Ti3 0.4773 0.2500 0.1359
Ti4 0.7392 0.2500 0.8896
Ti5 0.0227 0.2500 0.6359
Ti6 0.2392 0.7500 0.6104
Ti7 0.5227 0.7500 0.8641
Ti8 0.7608 0.2500 0.3896
P1 0.7498 0.7500 0.1820
P2 0.2498 0.2500 0.3180
P3 0.5219 0.2500 0.5686
P4 0.9781 0.2500 0.0686
P5 0.7502 0.7500 0.6820
P6 0.0219 0.7500 0.9314
P7 0.2502 0.2500 0.8180
P8 0.4781 0.7500 0.4314
Co1 0.2453 0.0491 0.4653
Co2 0.4683 0.9486 0.2852
Co3 0.7453 0.5491 0.0347
Co4 0.2453 0.4509 0.4653
Co5 0.0317 0.9486 0.7852
Co6 0.4683 0.5514 0.2852
Co7 0.9683 0.0514 0.2148
Co8 0.2547 0.0491 0.9653
Co9 0.7547 0.9509 0.5347
Co10 0.5317 0.0514 0.7148
Co11 0.5317 0.4486 0.7148
Co12 0.9683 0.4486 0.2148
Co13 0.2547 0.4509 0.9653
Co14 0.7453 0.9509 0.0347
Co15 0.0317 0.5514 0.7852
Co16 0.7547 0.5491 0.5347



Record 11
First-principles (PBE) data for TiCo2P after structural relaxation, as listed in the Alexandria database.

Unit cell a=3.6658 b=3.6658 c=8.1698 alpha=77.04 beta=77.04 gamma=90.00
Positions (direct):
Co1 0.3750 0.4113 0.7500
Co2 0.1613 0.6250 0.2500
Co3 0.8750 0.8387 0.7500
Co4 0.5887 0.1250 0.2500
Ti1 0.7500 0.2500 0.5000
Ti2 0.0000 0.0000 0.0000
P1 0.2500 0.7500 0.5000
P2 0.5000 0.5000 0.0000



Record 12
First-principles (PBE) data for TiCo3P after structural relaxation, as listed in the Alexandria database.

Calculated values
Relative energy among the computed polymorphs in eV per atom: 1.210

Unit cell a=4.2618 b=4.2618 c=4.2618 alpha=90.00 beta=90.00 gamma=90.00
Positions (direct):
Co1 0.5000 0.0000 0.0000
Co2 0.0000 0.5000 0.0000
Co3 0.0000 0.0000 0.5000
Ti1 0.0000 0.0000 0.0000
P1 0.5000 0.5000 0.5000



Record 13
First-principles (PBE) data for Ti2CoP2 after structural relaxation, as listed in the Alexandria database.

Unit cell a=5.9455 b=5.9455 c=3.6581 alpha=90.00 beta=90.00 gamma=90.00
Positions (direct):
P1 0.3638 0.8638 0.0000
P2 0.1362 0.3638 0.0000
P3 0.6362 0.1362 0.0000
P4 0.8638 0.6362 0.0000
Co1 0.5000 0.5000 0.0000
Co2 0.0000 0.0000 0.0000
Ti1 0.6694 0.8306 0.5000
Ti2 0.3306 0.1694 0.5000
Ti3 0.8306 0.3306 0.5000
Ti4 0.1694 0.6694 0.5000



Record 14
First-principles (PBE) data for TiCo3P after structural relaxation, as listed in the Alexandria database.

Calculated values
Relative energy among the computed polymorphs in eV per atom: 0.000

Unit cell a=4.0912 b=4.0912 c=4.0912 alpha=90.00 beta=90.00 gamma=90.00
Positions (direct):
P1 0.0000 0.0000 0.0000
Ti1 0.5000 0.5000 0.5000
Co1 0.0000 0.0000 0.5000
Co2 0.0000 0.5000 0.0000
Co3 0.5000 0.0000 0.0000



Record 15
First-principles (PBE) data for Ti4CoP after structural relaxation, as listed in the Alexandria database.

Unit cell a=5.8815 b=5.7909 c=5.8100 alpha=90.00 beta=92.29 gamma=90.00
Positions (direct):
Ti1 0.6684 0.6540 0.6637
Ti2 0.1641 0.3340 0.8473
Ti3 0.3316 0.3460 0.3363
Ti4 0.8316 0.1540 0.3363
Ti5 0.6641 0.1659 0.8473
Ti6 0.3359 0.8340 0.1527
Ti7 0.1684 0.8460 0.6637
Ti8 0.8359 0.6660 0.1527
P1 0.5000 0.0000 0.5000
P2 0.0000 0.5000 0.5000
Co1 0.0000 0.0000 0.0000
Co2 0.5000 0.5000 0.0000



Record 16
First-principles (PBE) data for TiCoP3 after structural relaxation, as listed in the Alexandria database.

Calculated values
Relative energy among the computed polymorphs in eV per atom: 0.000

Unit cell a=4.3361 b=4.3361 c=4.3361 alpha=90.00 beta=90.00 gamma=90.00
Positions (direct):
P1 0.0000 0.0000 0.5000
P2 0.0000 0.5000 0.0000
P3 0.5000 0.0000 0.0000
Co1 0.0000 0.0000 0.0000
Ti1 0.5000 0.5000 0.5000



Record 17
First-principles (PBE) data for TiCoP3 after structural relaxation, as listed in the Alexandria database.

Calculated values
Relative energy among the computed polymorphs in eV per atom: 0.347

Unit cell a=4.6350 b=4.6350 c=4.6350 alpha=90.00 beta=90.00 gamma=90.00
Positions (direct):
P1 0.0000 0.5000 0.0000
P2 0.5000 0.0000 0.0000
P3 0.0000 0.0000 0.5000
Ti1 0.0000 0.0000 0.0000
Co1 0.5000 0.5000 0.5000



Record 18
First-principles (PBE) data for Ti2TlCoP after structural relaxation, as listed in the Alexandria database.

Unit cell a=4.6068 b=4.1850 c=4.6068 alpha=90.00 beta=90.00 gamma=90.00
Positions (direct):
Ti1 0.5000 0.0000 0.0000
Ti2 0.0000 0.0000 0.5000
P1 0.0000 0.0000 0.0000
Co1 0.0000 0.5000 0.0000
Tl1 0.5000 0.5000 0.5000



Record 19
First-principles (PBE) data for TiCoPW2 after structural relaxation, as listed in the Alexandria database.

Unit cell a=4.7282 b=3.9519 c=4.7282 alpha=90.00 beta=90.00 gamma=90.00
Positions (direct):
Ti1 0.0000 0.0000 0.0000
P1 0.5000 0.5000 0.5000
Co1 0.0000 0.5000 0.0000
W1 0.0000 0.0000 0.5000
W2 0.5000 0.0000 0.0000



Record 20
First-principles (PBE) data for Zr2TiCoP after structural relaxation, as listed in the Alexandria database.

Unit cell a=4.9304 b=4.0687 c=4.9304 alpha=90.00 beta=90.00 gamma=90.00
Positions (direct):
Zr1 0.0000 0.0000 0.5000
Zr2 0.5000 0.0000 0.0000
P1 0.0000 0.0000 0.0000
Ti1 0.5000 0.5000 0.5000
Co1 0.0000 0.5000 0.0000



Number 1: total magnetic moment 0.00 μB/atom, formation enthalpy at 0 K -60.3 kJ per mole of atoms. Number 2: total magnetic moment 0.00 μB/atom, formation enthalpy at 0 K -55.3 kJ per mole of atoms. Number 3: total magnetic moment 0.11 μB/atom, formation enthalpy at 0 K -91.7 kJ per mole of atoms. Number 4: total magnetic moment 0.00 μB/atom, formation enthalpy at 0 K -100.0 kJ per mole of atoms. Number 5: total magnetic moment 0.00 μB/atom, formation enthalpy at 0 K -106.9 kJ per mole of atoms. Number 6: total magnetic moment 0.01 μB/atom, formation enthalpy at 0 K -78.9 kJ per mole of atoms. Number 7: total magnetic moment 0.13 μB/atom, formation enthalpy at 0 K -83.9 kJ per mole of atoms. Number 8: total magnetic moment 0.00 μB/atom, formation enthalpy at 0 K -104.4 kJ per mole of atoms. Number 9: total magnetic moment 0.06 μB/atom, formation enthalpy at 0 K -31.6 kJ per mole of atoms. Number 10: total magnetic moment 0.00 μB/atom, formation enthalpy at 0 K -75.9 kJ per mole of atoms. Number 11: total magnetic moment 0.16 μB/atom, formation enthalpy at 0 K -26.7 kJ per mole of atoms. Number 12: total magnetic moment 0.35 μB/atom, formation enthalpy at 0 K 120.6 kJ per mole of atoms. Number 13: total magnetic moment 0.00 μB/atom, formation enthalpy at 0 K -88.4 kJ per mole of atoms. Number 14: total magnetic moment 0.45 μB/atom, formation enthalpy at 0 K 3.9 kJ per mole of atoms. Number 15: total magnetic moment 0.00 μB/atom, formation enthalpy at 0 K -32.7 kJ per mole of atoms. Number 16: total magnetic moment 0.00 μB/atom, formation enthalpy at 0 K 37.9 kJ per mole of atoms. Number 17: total magnetic moment 0.41 μB/atom, formation enthalpy at 0 K 71.4 kJ per mole of atoms. Number 18: total magnetic moment 0.17 μB/atom, formation enthalpy at 0 K -15.0 kJ per mole of atoms. Number 19: total magnetic moment 0.00 μB/atom, formation enthalpy at 0 K 183.5 kJ per mole of atoms. Number 20: total magnetic moment 0.55 μB/atom, formation enthalpy at 0 K -8.4 kJ per mole of atoms.